Here is an optimized crystal structure of BeAuBr2 from Alexandria. Energies are from PBE.

Summary:
VASP energy, eV for the cell shown: -10.859
E_form (uncorrected), eV per atom: -0.1274
Space group: Cmm2, No. 35
Relative energy among the computed polymorphs, meV per atom: 146.2

a = 4.488 Å, b = 4.488 Å, c = 9.422 Å
α = 90.00°, β = 90.00°, γ = 138.76°
Positions (direct):
Au (0.000, 0.000, 0.548)
Be (0.500, 0.500, 0.738)
Br (0.500, 0.500, 0.315)
Br (0.000, 0.000, 0.899)